LiZr2CuNi: relaxed, PBE.

Cell lengths 4.9004, 4.9004, 4.3784 Å; angles 90.00, 90.00, 90.00 degrees
Fractional coordinates of all 5 atoms:
Li (0.0000, 0.0000, 0.0000)
Zr (0.0000, 0.5000, 0.5000)
Zr (0.5000, 0.0000, 0.5000)
Cu (0.5000, 0.5000, 0.5000)
Ni (0.5000, 0.5000, 0.0000)

Results
The energy relative to the elements comes out at 0.63 eV/atom.



LiNpCu4: relaxed, PBE.

Cell lengths 5.0627, 5.0627, 5.0627 Å; angles 60.00, 60.00, 60.00 degrees
Fractional coordinates of all 6 atoms:
Li (0.0000, 0.0000, 0.0000)
Np (0.2500, 0.2500, 0.2500)
Cu (0.1205, 0.6265, 0.6265)
Cu (0.6265, 0.1205, 0.6265)
Cu (0.6265, 0.6265, 0.1205)
Cu (0.6265, 0.6265, 0.6265)

Results
The energy relative to the elements comes out at 0.15 eV/atom.



Li2NpCuO6: relaxed, PBE.

Cell lengths 5.8351, 5.8351, 4.0551 Å; angles 90.00, 90.00, 90.00 degrees
Fractional coordinates of all 10 atoms:
Li (0.0000, 0.5000, 0.0000)
Li (0.5000, 0.0000, 0.0000)
Np (0.0000, 0.0000, 0.9559)
Cu (0.5000, 0.5000, 0.9486)
O (0.0000, 0.0000, 0.4573)
O (0.2409, 0.2409, 0.9639)
O (0.2409, 0.7591, 0.9639)
O (0.5000, 0.5000, 0.4553)
O (0.7591, 0.2409, 0.9639)
O (0.7591, 0.7591, 0.9639)

Results
For the energy, the calculation gives -67.217 eV for the cell shown.



LiNpCuO6: relaxed, PBE.

Cell lengths 5.1658, 5.1658, 9.4079 Å; angles 90.00, 90.00, 120.00 degrees
Fractional coordinates of all 18 atoms:
Li (0.0000, 0.0000, 0.0000)
Li (0.0000, 0.0000, 0.5000)
Np (0.3333, 0.6667, 0.2500)
Np (0.6667, 0.3333, 0.7500)
Cu (0.3333, 0.6667, 0.7500)
Cu (0.6667, 0.3333, 0.2500)
O (0.0050, 0.3555, 0.6356)
O (0.0050, 0.6494, 0.8644)
O (0.3506, 0.3555, 0.8644)
O (0.3506, 0.9950, 0.6356)
O (0.3555, 0.0050, 0.1356)
O (0.3555, 0.3506, 0.3644)
O (0.6445, 0.6494, 0.6356)
O (0.6445, 0.9950, 0.8644)
O (0.6494, 0.0050, 0.3644)
O (0.6494, 0.6445, 0.1356)
O (0.9950, 0.3506, 0.1356)
O (0.9950, 0.6445, 0.3644)

Results
For the energy, the calculation gives -125.170 eV for the cell shown.



Li2NpCu2O6: relaxed, PBE.

Cell lengths 5.2367, 5.2367, 5.1109 Å; angles 90.00, 90.00, 120.00 degrees
Fractional coordinates of all 11 atoms:
Li (0.3333, 0.6667, 0.0000)
Li (0.6667, 0.3333, 0.0000)
Np (0.0000, 0.0000, 0.5000)
Cu (0.3333, 0.6667, 0.5000)
Cu (0.6667, 0.3333, 0.5000)
O (0.0000, 0.3308, 0.7295)
O (0.0000, 0.6692, 0.2705)
O (0.3308, 0.0000, 0.7295)
O (0.3308, 0.3308, 0.2705)
O (0.6692, 0.0000, 0.2705)
O (0.6692, 0.6692, 0.7295)

Results
For the energy, the calculation gives -73.121 eV for the cell shown.



LiNpCu2O6: relaxed, PBE.

Cell lengths 6.8668, 6.8668, 5.3420 Å; angles 98.01, 98.01, 85.70 degrees
Fractional coordinates of all 20 atoms:
Li (0.0797, 0.9203, 0.7500)
Li (0.9203, 0.0797, 0.2500)
Np (0.2631, 0.7369, 0.2500)
Np (0.7369, 0.2631, 0.7500)
Cu (0.2124, 0.3904, 0.6730)
Cu (0.3904, 0.2124, 0.1730)
Cu (0.6096, 0.7876, 0.8270)
Cu (0.7876, 0.6096, 0.3270)
O (0.0108, 0.2088, 0.6283)
O (0.1527, 0.6342, 0.9079)
O (0.2088, 0.0108, 0.1283)
O (0.2881, 0.4518, 0.3638)
O (0.3658, 0.8473, 0.5921)
O (0.4518, 0.2881, 0.8638)
O (0.5482, 0.7119, 0.1362)
O (0.6342, 0.1527, 0.4079)
O (0.7119, 0.5482, 0.6362)
O (0.7912, 0.9892, 0.8717)
O (0.8473, 0.3658, 0.0921)
O (0.9892, 0.7912, 0.3717)

Results
For the energy, the calculation gives -137.483 eV for the cell shown.